(1)
The following is a PBE calculation of an optimized crystal structure of DyCo5H11, from the Alexandria database.

Cell and atoms, written as POSCAR:
```
DyCo5H11
1.0
3.983 -3.805 0.000
3.983 3.805 0.000
-2.460 0.000 3.895
Dy Co H
1 5 11
direct
0.000 0.000 0.000
0.030 0.380 0.704
0.380 0.030 0.704
0.500 0.500 0.000
0.620 0.970 0.296
0.970 0.620 0.296
0.000 0.000 0.500
0.157 0.639 0.682
0.163 0.434 0.115
0.274 0.274 0.580
0.361 0.843 0.318
0.434 0.163 0.115
0.566 0.837 0.885
0.639 0.157 0.682
0.726 0.726 0.420
0.837 0.566 0.885
0.843 0.361 0.318
```

Its total moment is 3.4 μB/f.u. For the total energy, the calculation gives -77.27 eV/cell. The density of states at the Fermi level is 12.77 states/eV/f.u.

(2)
The following is a PBE calculation of an optimized crystal structure of Li2DyCoH8, from the Alexandria database.

Cell and atoms, written as POSCAR:
```
Li2DyCoH8
1.0
4.261 0.000 0.000
-2.131 3.691 0.000
0.000 0.000 5.747
Li Dy Co H
2 1 1 8
direct
0.333 0.667 0.383
0.667 0.333 0.617
0.000 0.000 0.000
0.000 0.000 0.500
0.166 0.332 0.658
0.166 0.834 0.658
0.332 0.166 0.342
0.333 0.667 0.040
0.667 0.333 0.960
0.668 0.834 0.658
0.834 0.166 0.342
0.834 0.668 0.342
```

Its total moment is 0.0 μB/f.u. For the total energy, the calculation gives -47.22 eV/cell.

(3)
The following is a PBE calculation of an optimized crystal structure of Na2DyCoH8, from the Alexandria database.

Cell and atoms, written as POSCAR:
```
Na2DyCoH8
1.0
4.673 0.000 0.000
-2.336 4.047 0.000
0.000 0.000 5.833
Na Dy Co H
2 1 1 8
direct
0.333 0.667 0.369
0.667 0.333 0.631
0.000 0.000 0.000
0.000 0.000 0.500
0.150 0.301 0.662
0.150 0.850 0.662
0.301 0.150 0.338
0.333 0.667 0.998
0.667 0.333 0.002
0.699 0.850 0.662
0.850 0.150 0.338
0.850 0.699 0.338
```

Its total moment is 0.0 μB/f.u. For the total energy, the calculation gives -44.34 eV/cell.

(4)
The following is a PBE calculation of an optimized crystal structure of DyCo2NiH8, from the Alexandria database.

Cell and atoms, written as POSCAR:
```
DyCo2NiH8
1.0
2.197 1.268 5.136
-2.197 1.268 5.136
0.000 -2.537 5.136
Dy Co Ni H
1 2 1 8
direct
0.000 0.000 0.000
0.202 0.202 0.202
0.798 0.798 0.798
0.500 0.500 0.500
0.137 0.405 0.820
0.180 0.863 0.595
0.306 0.306 0.306
0.405 0.820 0.137
0.595 0.180 0.863
0.694 0.694 0.694
0.820 0.137 0.405
0.863 0.595 0.180
```

Its total moment is 0.0 μB/f.u. For the total energy, the calculation gives -53.87 eV/cell. The density of states at the Fermi level is 2.16 states/eV/f.u.